[1]
The following is a DFT calculation (PBE) of Bi2Pd4Pb3 after structural relaxation.

Cell lengths 11.293, 4.167, 9.594 Å; angles 90.00, 106.68, 90.00 degrees
Space group C2/m (No. 12)
Asymmetric unit:
Bi: 0.164 0.000 0.332
Pd: 0.110 0.500 0.118
Pd: 0.160 0.000 0.641
Pb: 0.000 0.500 0.500
Pb: 0.120 0.000 0.916

Computed properties:
Spin magnetization ... 0.000 μB per atom
Formation energy ... -175.0 meV/atom
Calculated total energy ... -82.47 eV for the cell shown


[2]
The following is a DFT calculation (PBE) of Bi2Pd7Pb after structural relaxation.

Cell lengths 4.058, 4.058, 23.980 Å; angles 90.00, 90.00, 90.00 degrees
Space group I4/mmm (No. 139)
Asymmetric unit:
Bi: 0.000 0.000 0.168
Pd: 0.000 0.000 0.000
Pd: 0.000 0.500 0.088
Pd: 0.000 0.500 0.250
Pb: 0.000 0.000 0.500

Computed properties:
Spin magnetization ... 0.000 μB per atom
Formation energy ... -213.3 meV/atom
Calculated total energy ... -99.91 eV for the cell shown
Relative energy among the computed polymorphs ... 0 meV/atom


[3]
The following is a DFT calculation (PBE) of Bi4Pd4Pb after structural relaxation.

Cell lengths 9.019, 9.019, 5.656 Å; angles 90.00, 90.00, 90.00 degrees
Space group P4_2/n (No. 86, origin choice 2)
Asymmetric unit:
Bi: 0.084 0.648 0.152
Pd: 0.032 0.624 0.648
Pb: 0.250 0.250 0.250

Computed properties:
Spin magnetization ... 0.000 μB per atom
Formation energy ... -175.1 meV/atom
Calculated total energy ... -83.16 eV for the cell shown


Q: Among the records above, which one has the highest formation energy?
A: Bi2Pd4Pb3